Record 1
CaSiS2N after structural relaxation, computed with GGA-PBE.

Values from the calculation:
E_form (uncorrected), eV per atom: -0.60
Relative energy among the computed polymorphs, meV per atom: 0.0

Unit cell a=4.893 b=4.893 c=3.402 alpha=90.00 beta=90.00 gamma=90.00
Positions (direct):
Ca 0.500 0.500 0.500
Si 0.000 0.000 0.000
S 0.000 0.500 0.000
S 0.500 0.000 0.000
N 0.000 0.000 0.500

---

Record 2
Hf2CdPb after structural relaxation, computed with GGA-PBE.

Values from the calculation:
Relative energy among the computed polymorphs, meV per atom: 334.9
Energy relative to the elements, eV/f.u.: 1.47

Unit cell a=4.660 b=4.660 c=6.088 alpha=67.50 beta=67.50 gamma=60.00
Positions (direct):
Hf 0.068 0.068 0.795
Hf 0.270 0.270 0.190
Cd 0.672 0.672 0.985
Pb 0.490 0.490 0.530

---

Record 3
AcMgAgPb after structural relaxation, computed with GGA-PBE.

Values from the calculation:
Energy relative to the elements, eV/f.u.: -1.14

Unit cell a=5.436 b=5.436 c=5.436 alpha=60.00 beta=60.00 gamma=60.00
Positions (direct):
Pb 0.750 0.750 0.750
Ac 0.000 0.000 0.000
Mg 0.500 0.500 0.500
Ag 0.250 0.250 0.250

---

Record 4
BaAlRu2 after structural relaxation, computed with GGA-PBE.

Values from the calculation:
Energy relative to the elements, eV/f.u.: 1.36

Unit cell a=4.060 b=3.027 c=6.674 alpha=88.04 beta=90.00 gamma=90.00
Positions (direct):
Ru 0.000 0.962 0.084
Ru 0.000 0.538 0.416
Ba 0.500 0.750 0.750
Al 0.500 0.250 0.250

---

Record 5
Cd2MoCl after structural relaxation, computed with GGA-PBE.

Values from the calculation:
E_form (uncorrected), eV per atom: 0.20
Relative energy among the computed polymorphs, meV per atom: 69.6

Unit cell a=3.029 b=3.028 c=8.578 alpha=90.00 beta=90.00 gamma=90.00
Positions (direct):
Cd 0.000 0.000 0.991
Cd 0.000 0.000 0.509
Cl 0.500 0.500 0.250
Mo 0.500 0.500 0.750

---

Record 6
Ca5ScTl6 after structural relaxation, computed with GGA-PBE.

Values from the calculation:
Energy relative to the elements, eV/f.u.: -4.79

Unit cell a=5.415 b=7.736 c=9.384 alpha=65.66 beta=72.76 gamma=90.00
Positions (direct):
Sc 0.000 0.000 0.000
Ca 0.674 0.175 0.651
Ca 0.336 0.336 0.328
Ca 0.000 0.500 0.000
Ca 0.664 0.664 0.672
Ca 0.326 0.825 0.349
Tl 0.840 0.603 0.320
Tl 0.840 0.077 0.320
Tl 0.500 0.769 0.000
Tl 0.500 0.231 0.000
Tl 0.160 0.923 0.680
Tl 0.160 0.397 0.680

---

Going through the records in order, we get N(E_F) values of 0.667, 0.861, 0.383, 1.042, 0.540, 0.577 states/eV/atom.
Going through the records in order, we get magnetic moment values of 0.00, 0.00, 0.00, 0.00, 0.00, 0.00 μB/f.u..